! Pm2Sm5Y3, optimized geometry, DFT PBE; values from VASP
&SYSTEM
  ibrav = 0, nat = 20, ntyp = 3
/
ATOMIC_SPECIES
Pm 145.00 Pm.upf
Sm 150.36 Sm.upf
Y 88.91 Y.upf
ATOMIC_POSITIONS crystal
Pm 0.019 0.271 0.053
Pm 0.271 0.019 0.553
Pm 0.729 0.981 0.447
Pm 0.981 0.729 0.947
Sm 0.147 0.390 0.782
Sm 0.229 0.771 0.750
Sm 0.271 0.729 0.250
Sm 0.390 0.147 0.282
Sm 0.469 0.531 0.250
Sm 0.531 0.469 0.750
Sm 0.610 0.853 0.718
Sm 0.729 0.271 0.750
Sm 0.771 0.229 0.250
Sm 0.853 0.610 0.218
Y 0.020 0.980 0.750
Y 0.221 0.465 0.454
Y 0.465 0.221 0.954
Y 0.535 0.779 0.046
Y 0.779 0.535 0.546
Y 0.980 0.020 0.250
CELL_PARAMETERS angstrom
5.434 -7.803 0.000
5.434 7.803 0.000
-5.358 0.000 8.086
! Energy of formation ... 1.9 eV per formula unit
! Density ... 6.3 g cm⁻³
! Total moment ... 0.00 μB per atom